No. 1
This record from the Alexandria database describes a relaxed structure of TbScP. The functional is PBE.

a = 3.926 Å, b = 3.926 Å, c = 5.060 Å
α = 90.00°, β = 90.00°, γ = 90.00°
Positions (direct):
1 Tb 0.000 0.000 0.000
2 Sc 0.500 0.500 0.500
3 P 0.500 0.500 0.000

Summary:
Total DFT energy (no corrections) in eV per atom: -6.342
Relative energy among the computed polymorphs in meV per atom: 33
Density of states at the Fermi level in states/eV/cell: 3.4
Energy relative to the elements in kJ/mol of formula units: -256

No. 2
This record from the Alexandria database describes a relaxed structure of Zn2CoRh2. The functional is PBE.

a = 6.702 Å, b = 6.702 Å, c = 3.250 Å
α = 90.00°, β = 90.00°, γ = 90.00°
Positions (direct):
1 Zn 0.157 0.343 0.000
2 Zn 0.343 0.843 0.000
3 Zn 0.657 0.157 0.000
4 Zn 0.843 0.657 0.000
5 Co 0.000 0.000 0.500
6 Co 0.500 0.500 0.500
7 Rh 0.143 0.643 0.500
8 Rh 0.357 0.143 0.500
9 Rh 0.643 0.857 0.500
10 Rh 0.857 0.357 0.500

Summary:
Total DFT energy (no corrections) in eV per atom: -4.840
Relative energy among the computed polymorphs in meV per atom: 9
Density of states at the Fermi level in states/eV/cell: 11.6
Energy relative to the elements in kJ/mol of formula units: 15

No. 3
This record from the Alexandria database describes a relaxed structure of Mo4POs. The functional is PBE.

a = 5.145 Å, b = 5.145 Å, c = 5.145 Å
α = 60.00°, β = 60.00°, γ = 60.00°
Positions (direct):
1 Mo 0.376 0.376 0.376
2 Mo 0.376 0.376 0.872
3 Mo 0.376 0.872 0.376
4 Mo 0.872 0.376 0.376
5 P 0.750 0.750 0.750
6 Os 0.000 0.000 0.000

Summary:
Total DFT energy (no corrections) in eV per atom: -9.290
Density of states at the Fermi level in states/eV/cell: 6.4
Energy relative to the elements in kJ/mol of formula units: 408

No. 4
This record from the Alexandria database describes a relaxed structure of Ho8NiHg2. The functional is PBE.

a = 9.148 Å, b = 9.148 Å, c = 6.757 Å
α = 104.60°, β = 104.60°, γ = 32.97°
Positions (direct):
1 Ho 0.023 0.023 0.280
2 Ho 0.202 0.202 0.807
3 Ho 0.349 0.349 0.539
4 Ho 0.412 0.412 0.066
5 Ho 0.588 0.588 0.934
6 Ho 0.651 0.651 0.461
7 Ho 0.798 0.798 0.193
8 Ho 0.977 0.977 0.720
9 Ni 0.500 0.500 0.500
10 Hg 0.189 0.189 0.232
11 Hg 0.811 0.811 0.768

Summary:
Total DFT energy (no corrections) in eV per atom: -4.132
Density of states at the Fermi level in states/eV/cell: 9.2
Energy relative to the elements in kJ/mol of formula units: -236

No. 5
This record from the Alexandria database describes a relaxed structure of Cu2PCl. The functional is PBE.

a = 3.045 Å, b = 3.307 Å, c = 12.980 Å
α = 90.00°, β = 90.00°, γ = 90.00°
Positions (direct):
1 Cu 0.000 0.000 0.000
2 Cu 0.000 0.500 0.205
3 Cu 0.500 0.000 0.705
4 Cu 0.500 0.500 0.500
5 P 0.000 0.500 0.638
6 P 0.500 0.000 0.138
7 Cl 0.000 0.000 0.393
8 Cl 0.500 0.500 0.893

Summary:
Total DFT energy (no corrections) in eV per atom: -3.848
Relative energy among the computed polymorphs in meV per atom: 110
Density of states at the Fermi level in states/eV/cell: 3.0
E_form (uncorrected) in eV per atom: 0.015

No. 6
This record from the Alexandria database describes a relaxed structure of Mg2In3Pd7. The functional is PBE.

a = 4.518 Å, b = 4.481 Å, c = 11.230 Å
α = 90.00°, β = 101.51°, γ = 90.00°
Positions (direct):
1 Mg 0.153 0.000 0.306
2 Mg 0.847 0.000 0.694
3 In 0.000 0.000 0.000
4 In 0.350 0.500 0.699
5 In 0.650 0.500 0.301
6 Pd 0.076 0.500 0.153
7 Pd 0.283 0.000 0.565
8 Pd 0.421 0.000 0.844
9 Pd 0.500 0.500 0.000
10 Pd 0.579 0.000 0.156
11 Pd 0.717 0.000 0.435
12 Pd 0.924 0.500 0.847

Summary:
Total DFT energy (no corrections) in eV per atom: -4.421
Density of states at the Fermi level in states/eV/cell: 4.9
Energy relative to the elements in kJ/mol of formula units: -511

No. 7
This record from the Alexandria database describes a relaxed structure of P2IrSe. The functional is PBE.

a = 4.554 Å, b = 4.565 Å, c = 7.981 Å
α = 90.00°, β = 90.00°, γ = 90.00°
Positions (direct):
1 P 0.000 0.000 0.000
2 P 0.000 0.500 0.131
3 P 0.500 0.000 0.631
4 P 0.500 0.500 0.500
5 Ir 0.000 0.500 0.414
6 Ir 0.500 0.000 0.914
7 Se 0.000 0.000 0.507
8 Se 0.500 0.500 0.007

Summary:
Total DFT energy (no corrections) in eV per atom: -5.829
Density of states at the Fermi level in states/eV/cell: 4.7
E_form (uncorrected) in eV per atom: -0.037

No. 8
This record from the Alexandria database describes a relaxed structure of RbMg2Si2. The functional is PBE.

a = 8.666 Å, b = 8.666 Å, c = 2.955 Å
α = 90.00°, β = 90.00°, γ = 90.00°
Positions (direct):
1 Rb 0.000 0.000 0.000
2 Rb 0.500 0.500 0.000
3 Mg 0.130 0.370 0.000
4 Mg 0.370 0.870 0.000
5 Mg 0.630 0.130 0.000
6 Mg 0.870 0.630 0.000
7 Si 0.156 0.656 0.500
8 Si 0.344 0.156 0.500
9 Si 0.656 0.844 0.500
10 Si 0.844 0.344 0.500

Summary:
Total DFT energy (no corrections) in eV per atom: -2.874
Relative energy among the computed polymorphs in meV per atom: 138
Density of states at the Fermi level in states/eV/cell: 2.7
E_form (uncorrected) in eV per atom: 0.126

No. 9
This record from the Alexandria database describes a relaxed structure of Cs2ThGaTe4. The functional is PBE.

a = 16.498 Å, b = 14.693 Å, c = 8.903 Å
α = 84.97°, β = 62.52°, γ = 32.52°
Positions (direct):
1 Cs 0.055 0.055 0.695
2 Cs 0.305 0.305 0.945
3 Cs 0.695 0.695 0.055
4 Cs 0.945 0.945 0.305
5 Th 0.125 0.125 0.125
6 Th 0.875 0.875 0.875
7 Ga 0.375 0.375 0.375
8 Ga 0.625 0.625 0.625
9 Te 0.026 0.338 0.440
10 Te 0.303 0.560 0.662
11 Te 0.338 0.026 0.697
12 Te 0.440 0.697 0.026
13 Te 0.560 0.303 0.974
14 Te 0.662 0.974 0.303
15 Te 0.697 0.440 0.338
16 Te 0.974 0.662 0.560

Summary:
Total DFT energy (no corrections) in eV per atom: -3.901
Density of states at the Fermi level in states/eV/cell: 12.3
E_form (uncorrected) in eV per atom: -0.811

No. 10
This record from the Alexandria database describes a relaxed structure of LiCePrPd. The functional is PBE.

a = 7.316 Å, b = 7.316 Å, c = 7.316 Å
α = 90.00°, β = 90.00°, γ = 90.00°
Positions (direct):
1 Li 0.000 0.000 0.000
2 Li 0.000 0.500 0.500
3 Li 0.500 0.000 0.500
4 Li 0.500 0.500 0.000
5 Ce 0.250 0.250 0.750
6 Ce 0.250 0.750 0.250
7 Ce 0.750 0.250 0.250
8 Ce 0.750 0.750 0.750
9 Pr 0.250 0.250 0.250
10 Pr 0.250 0.750 0.750
11 Pr 0.750 0.250 0.750
12 Pr 0.750 0.750 0.250
13 Pd 0.000 0.000 0.500
14 Pd 0.000 0.500 0.000
15 Pd 0.500 0.000 0.000
16 Pd 0.500 0.500 0.500

Summary:
Total DFT energy (no corrections) in eV per atom: -4.663
Density of states at the Fermi level in states/eV/cell: 36.7
Energy relative to the elements in kJ/mol of formula units: -80

No. 11
This record from the Alexandria database describes a relaxed structure of Na2CaZrV. The functional is PBE.

a = 5.834 Å, b = 5.834 Å, c = 4.587 Å
α = 90.00°, β = 90.00°, γ = 90.00°
Positions (direct):
1 Na 0.000 0.500 0.000
2 Na 0.500 0.000 0.000
3 Ca 0.000 0.000 0.500
4 Zr 0.500 0.500 0.000
5 V 0.500 0.500 0.500

Summary:
Total DFT energy (no corrections) in eV per atom: -3.432
Density of states at the Fermi level in states/eV/cell: 4.2
Energy relative to the elements in kJ/mol of formula units: 497

No. 12
This record from the Alexandria database describes a relaxed structure of SrGaIr3. The functional is PBE.

a = 4.685 Å, b = 4.685 Å, c = 4.685 Å
α = 90.00°, β = 90.00°, γ = 90.00°
Positions (direct):
1 Sr 0.000 0.000 0.000
2 Ga 0.500 0.500 0.500
3 Ir 0.000 0.500 0.500
4 Ir 0.500 0.000 0.500
5 Ir 0.500 0.500 0.000

Summary:
Total DFT energy (no corrections) in eV per atom: -5.739
Relative energy among the computed polymorphs in meV per atom: 0
Density of states at the Fermi level in states/eV/cell: 6.1
Energy relative to the elements in kJ/mol of formula units: 251